#P
! BeNb2F2 | Alexandria via LeMat-Bulk | GGA-PBE | optimized geometry; values from VASP
! Calculated density, kg/m3: 5805
! Symmetry: P4/mbm, No. 127
! Total moment, μB per formula unit: 0.0
&SYSTEM
  ibrav = 0, nat = 10, ntyp = 3
/
ATOMIC_SPECIES
Be 9.01 Be.upf
Nb 92.91 Nb.upf
F 19.00 F.upf
ATOMIC_POSITIONS angstrom
Be 0.000 0.000 0.000
Be 3.513 3.513 0.000
Nb 1.457 2.056 0.000
Nb 2.056 5.568 0.000
Nb 4.970 1.457 0.000
Nb 5.568 4.970 0.000
F 0.781 4.294 1.349
F 2.732 0.781 1.349
F 4.294 6.244 1.349
F 6.244 2.732 1.349
CELL_PARAMETERS angstrom
7.025 0.000 0.000
0.000 7.025 0.000
0.000 0.000 2.699



#Q
! BeNb2F2 | Alexandria via LeMat-Bulk | GGA-PBE | optimized geometry; values from VASP
! Calculated density, kg/m3: 6173
! Symmetry: I4/mmm, No. 139
! Total moment, μB per formula unit: 0.0
&SYSTEM
  ibrav = 0, nat = 5, ntyp = 3
/
ATOMIC_SPECIES
Be 9.01 Be.upf
Nb 92.91 Nb.upf
F 19.00 F.upf
ATOMIC_POSITIONS angstrom
Be 0.000 0.000 0.000
Nb 0.000 0.000 4.667
Nb 0.000 0.000 7.431
F 1.609 0.000 3.025
F 0.000 1.609 3.025
CELL_PARAMETERS angstrom
-1.609 1.609 6.049
1.609 -1.609 6.049
1.609 1.609 -6.049



Which one is the most stable? From the structures above, #Q.